Entry 1:
Computed, not measured: a relaxed AcCeTeO2 crystal at the PBE level of DFT.

abc: 4.1535 4.1535 13.3499
angles: 90.00 90.00 90.00
With the nearest neighbours (Å) after each atom.
Space group I4mm (No. 107)
Symmetry-distinct sites (fractional):
Ac  0.0000  0.0000  0.0000 x2  4 O 2.47
Ce  0.0000  0.0000  0.6856 x2  4 O 2.37
Te  0.0000  0.0000  0.3410 x2  4 Ce 3.60, 4 Ac 3.62, 4 O 3.82
O  0.0000  0.5000  0.1006 x4  2 Ce 2.37, 2 Ac 2.47

=====

Entry 2:
Computed, not measured: a relaxed AcCeTi2O8 crystal at the PBE level of DFT.

abc: 5.3182 5.3182 11.7063
angles: 90.00 90.00 90.00
With the nearest neighbours (Å) after each atom.
Space group I-4 (No. 82)
Symmetry-distinct sites (fractional):
Ac  0.0000  0.0000  0.0000 x2  8 O 2.54-2.58
Ce  0.0000  0.5000  0.7500 x2  8 O 2.37-2.43
Ti  0.0000  0.0000  0.5000 x2  4 O 1.85
Ti  0.0000  0.5000  0.2500 x2  4 O 1.85
O  0.1398  0.2535  0.5876 x8  1 Ti 1.85
O  0.1696  0.7530  0.1735 x8  1 Ti 1.85

=====

Entry 3:
Computed, not measured: a relaxed AcCe2TlO8 crystal at the PBE level of DFT.

abc: 3.9703 5.8578 7.6883
angles: 86.52 85.63 89.65
With the nearest neighbours (Å) after each atom.
Space group P-1 (No. 2)
Symmetry-distinct sites (fractional):
Ac  0.0000  0.0000  0.0000 x1  8 O 2.53-2.59
Ce  0.4721  0.4851  0.2484 x2  8 O 2.31-2.49
Tl  0.0000  0.0000  0.5000 x1  2 O 2.12
O  0.0287  0.7708  0.7234 x2  1 Tl 2.12
O  0.0333  0.3046  0.7399 x2  1 O 2.33, 2 Ce 2.33-2.35, 1 Ac 2.59
O  0.4760  0.2580  0.5285 x2  1 O 2.33, 2 Ce 2.37-2.46, 2 Tl 2.46-2.57
O  0.4968  0.7269  0.9967 x2  2 Ce 2.31-2.32, 2 Ac 2.53-2.57

=====

Entry 4:
Computed, not measured: a relaxed AcCeTlO2 crystal at the PBE level of DFT.

abc: 4.0918 4.0918 14.0680
angles: 90.00 90.00 90.00
With the nearest neighbours (Å) after each atom.
Space group I4mm (No. 107)
Symmetry-distinct sites (fractional):
Ac  0.0000  0.0000  0.0000 x2  4 O 2.49
Ce  0.0000  0.0000  0.6760 x2  4 O 2.30
Tl  0.0000  0.0000  0.3342 x2  4 Ce 3.65, 4 Ac 3.72, 4 O 3.86
O  0.0000  0.5000  0.1013 x4  2 Ce 2.30, 2 Ac 2.49

=====

Entry 5:
Computed, not measured: a relaxed Ac2CeTmO6 crystal at the PBE level of DFT.

abc: 6.0790 6.2696 10.6604
angles: 90.00 124.57 90.00
With the nearest neighbours (Å) after each atom.
Space group P2_1/c (No. 14)
Symmetry-distinct sites (fractional):
Ac  0.2365  0.0480  0.2518 x4  4 O 2.48-2.62
Ce  0.5000  0.0000  0.0000 x2  6 O 2.36-2.41
Tm  0.0000  0.0000  0.5000 x2  6 O 2.23-2.28
O  0.1211  0.2060  0.9301 x4  1 Tm 2.26, 1 Ce 2.36, 1 Ac 2.50
O  0.2331  0.6916  0.9368 x4  1 Tm 2.23, 1 Ce 2.36, 1 Ac 2.49
O  0.3640  0.0565  0.7414 x4  1 Tm 2.28, 1 Ce 2.41, 1 Ac 2.48

=====

ΔE_f (raw) / eV/f.u.: -14.394 -36.241 -28.641 -11.860 -33.798
E_tot / eV per atom: -7.499 -8.478 -7.221 -6.837 -8.217